# 1
# HgS5N

A geometry-optimized HgS5N structure (PBE, Alexandria).

Cell: 7.880 7.880 7.880 Å, 124.56 146.44 66.39°
Fractional coordinates of all 7 atoms:
S: 0.180 0.887 0.708
S: 0.482 0.982 0.500
S: 0.085 0.300 0.785
S: 0.180 0.472 0.292
S: 0.516 0.300 0.215
Hg: 0.922 0.922 0.000
N: 0.167 0.667 0.500

Properties
- energy (eV for the cell shown) = -26.1
- uncorrected formation energy (eV/atom) = 0.457
- symmetry = Imm2, No. 44
- size of the total moment (μB/cell) = 0.000


# 2
# Hf2ZrCo

A geometry-optimized Hf2ZrCo structure (PBE, Alexandria).

Cell: 7.529 7.529 6.047 Å, 51.50 51.50 90.00°
Fractional coordinates of all 8 atoms:
Hf: 0.875 0.813 0.750
Hf: 0.375 0.437 0.750
Hf: 0.187 0.625 0.250
Hf: 0.563 0.125 0.250
Zr: 0.750 0.250 0.500
Zr: 0.000 0.000 0.000
Co: 0.250 0.750 0.500
Co: 0.500 0.500 0.000

Properties
- energy (eV for the cell shown) = -70.3
- relative energy among the computed polymorphs (kJ/mol of formula units) = 128
- symmetry = I-42d, No. 122
- energy of formation (eV per formula unit) = 0.399
- size of the total moment (μB/cell) = 0.000


# 3
# CdCu2Ru

A geometry-optimized CdCu2Ru structure (PBE, Alexandria).

Cell: 4.509 4.509 4.509 Å, 125.95 125.95 79.98°
Fractional coordinates of all 4 atoms:
Cd: 0.750 0.250 0.500
Cu: 0.500 0.500 0.000
Cu: 0.000 0.000 0.000
Ru: 0.250 0.750 0.500

Properties
- energy (eV for the cell shown) = -17.2
- symmetry = I4/mmm, No. 139
- energy of formation (eV per formula unit) = 1.176
- size of the total moment (μB/cell) = 0.002


Which of these has the highest size of the total moment?
CdCu2Ru


Which value of size of the total moment does entry 3 give?
0.002 μB/cell